[1]
Material: CaNdSm2
Method: DFT, PBE
State: optimized geometry

- Space-group type: C2/m
- ΔE_f: 0.10 eV per atom
- Final energy: -31.6 eV per cell

Lattice parameters (Å, degrees): 12.349 12.349 6.603 94.32 94.32 16.59
Sites, in units of the cell vectors:
Ca  0.001  0.001  0.249
Ca  0.999  0.999  0.751
Nd  0.248  0.248  0.248
Nd  0.752  0.752  0.752
Sm  0.135  0.135  0.544
Sm  0.375  0.375  0.968
Sm  0.625  0.625  0.032
Sm  0.865  0.865  0.456

***

[2]
Material: Ca3Nd2Sm2
Method: DFT, PBE
State: optimized geometry

- Space-group type: Cmmm
- ΔE_f: 0.05 eV per atom
- Final energy: -24.6 eV per cell

Lattice parameters (Å, degrees): 12.934 12.934 3.662 90.00 90.00 154.43
Sites, in units of the cell vectors:
Ca  0.000  0.000  0.000
Ca  0.424  0.576  0.500
Ca  0.576  0.424  0.500
Nd  0.283  0.717  0.500
Nd  0.717  0.283  0.500
Sm  0.157  0.843  0.000
Sm  0.843  0.157  0.000

***

[3]
Material: CaNd3Sm8
Method: DFT, PBE
State: optimized geometry

- Space-group type: I-42m
- ΔE_f: 0.60 eV per atom
- Final energy: -46.9 eV per cell

Lattice parameters (Å, degrees): 8.674 8.674 8.674 119.13 119.13 91.51
Sites, in units of the cell vectors:
Ca  0.000  0.000  0.000
Nd  0.250  0.750  0.500
Nd  0.500  0.500  0.000
Nd  0.750  0.250  0.500
Sm  0.136  0.416  0.000
Sm  0.222  0.222  0.534
Sm  0.312  0.778  0.000
Sm  0.416  0.136  0.000
Sm  0.584  0.584  0.719
Sm  0.688  0.688  0.466
Sm  0.778  0.312  0.000
Sm  0.864  0.864  0.281

***

Repeat the second record exactly.
Material: Ca3Nd2Sm2
Method: DFT, PBE
State: optimized geometry

- Space-group type: Cmmm
- ΔE_f: 0.05 eV per atom
- Final energy: -24.6 eV per cell

Lattice parameters (Å, degrees): 12.934 12.934 3.662 90.00 90.00 154.43
Sites, in units of the cell vectors:
Ca  0.000  0.000  0.000
Ca  0.424  0.576  0.500
Ca  0.576  0.424  0.500
Nd  0.283  0.717  0.500
Nd  0.717  0.283  0.500
Sm  0.157  0.843  0.000
Sm  0.843  0.157  0.000